Entry from Alexandria via LeMat-Bulk: a relaxed ScTi2Tl3Te6 crystal (PBE).

Cell: 7.1636 7.1636 8.5191 Å, 98.04 98.04 120.26°
Closest atoms and distances in Å follow each position.
Fractional positions:
Sc 0.0000 0.0000 0.0000  6 Te 2.92-2.95
Ti 0.3258 0.6742 0.0000  6 Te 2.82-2.89
Ti 0.6742 0.3258 0.0000  6 Te 2.82-2.89
Tl 0.1588 0.8412 0.5000  6 Te 3.42-3.45
Tl 0.5000 0.5000 0.5000  6 Te 3.41-3.42
Tl 0.8412 0.1588 0.5000  6 Te 3.42-3.45
Te 0.0692 0.4100 0.2027  2 Ti 2.82-2.87, 1 Sc 2.95
Te 0.2818 0.2818 0.8087  2 Ti 2.89, 1 Sc 2.92
Te 0.4100 0.0692 0.2027  2 Ti 2.82-2.87, 1 Sc 2.95
Te 0.5900 0.9308 0.7973  2 Ti 2.82-2.87, 1 Sc 2.95
Te 0.7182 0.7182 0.1913  2 Ti 2.89, 1 Sc 2.92
Te 0.9308 0.5900 0.7973  2 Ti 2.82-2.87, 1 Sc 2.95

electronic total energy = -4.648 eV per atom
formation energy from raw total energies = -0.64 eV/atom
total moment = 0.170 μB/atom
DOS at the Fermi energy = 7.04 states/eV/cell